Material: Ca4Tl3Ag
Method: DFT, PBE-GGA
State: relaxed

POSCAR file:
```
Ca4Tl3Ag
1.0
3.926 0.000 0.000
0.000 5.076 0.000
0.000 0.000 11.941
Ca Tl Ag
4 3 1
Cartesian
0.000 0.000 0.000
0.000 2.538 3.337
1.963 0.000 5.770
1.963 2.538 9.396
0.000 0.000 8.618
0.000 2.538 6.595
1.963 2.538 0.739
1.963 0.000 2.523
```

Computed properties:
Formation energy from the elements = -0.361 eV/atom
Calculated volume = 238 Å³ per cell